# 1
Density functional theory data (PBE) for a relaxed structure of Nd6Ho5Cd.

As for the formation energy: -0.0128 eV/atom.

The structure belongs to space group Immm (No. 71); the cell edges are 5.094, 9.889 and 15.336 Å and the angles 90.00°, 90.00° and 90.00°. The asymmetric unit holds Nd at (0.000, 0.244, 0.000), Nd at (0.000, 0.255, 0.334), Ho at (0.000, 0.000, 0.171), Ho at (0.000, 0.000, 0.500), Ho at (0.000, 0.500, 0.163) and Cd at (0.000, 0.500, 0.500).

---

# 2
Density functional theory data (PBE) for a relaxed structure of Nd4Ho3Cd.

As for the formation energy: 0.0128 eV/atom.

The structure belongs to space group P4/mmm (No. 123); the cell edges are 4.114, 4.114 and 15.161 Å and the angles 90.00°, 90.00° and 90.00°. The asymmetric unit holds Nd at (0.000, 0.000, 0.116), Nd at (0.000, 0.000, 0.376), Ho at (0.500, 0.500, 0.250), Ho at (0.500, 0.500, 0.500) and Cd at (0.500, 0.500, 0.000).

---

# 3
Density functional theory data (PBE) for a relaxed structure of NdHoCdNi.

As for the formation energy: -0.2174 eV/atom.

The structure belongs to space group F-43m (No. 216); the cell edges are 7.256, 7.256 and 7.256 Å and the angles 90.00°, 90.00° and 90.00°. The asymmetric unit holds Nd at (0.000, 0.000, 0.000), Ho at (0.000, 0.000, 0.500), Cd at (0.250, 0.250, 0.250) and Ni at (0.250, 0.250, 0.750).

---

# 4
Density functional theory data (PBE) for a relaxed structure of NdHo2CdPd4.

As for the formation energy: -0.7629 eV/atom.

The structure belongs to space group R-3m (No. 166, hexagonal axes); the cell edges are 4.9121, 4.9121 and 24.1034 Å and the angles 90.00°, 90.00° and 120.00°. The asymmetric unit holds Nd at (0.0000, 0.0000, 0.0000), Ho at (0.0000, 0.0000, 0.2423), Cd at (0.0000, 0.0000, 0.5000), Pd at (0.0000, 0.0000, 0.1225) and Pd at (0.0000, 0.0000, 0.3780).

---

# 5
Density functional theory data (PBE) for a relaxed structure of NdHoScCd.

As for the formation energy: -0.0478 eV/atom.

The structure belongs to space group F-43m (No. 216); the cell edges are 7.628, 7.628 and 7.628 Å and the angles 90.00°, 90.00° and 90.00°. The asymmetric unit holds Nd at (0.000, 0.000, 0.000), Ho at (0.000, 0.000, 0.500), Sc at (0.250, 0.250, 0.750) and Cd at (0.250, 0.250, 0.250).

---

# 6
Density functional theory data (PBE) for a relaxed structure of NdHoCdSi.

As for the formation energy from raw total energies: -376 meV per atom.

The structure belongs to space group F-43m (No. 216); the cell edges are 7.320, 7.320 and 7.320 Å and the angles 90.00°, 90.00° and 90.00°. The asymmetric unit holds Nd at (0.000, 0.000, 0.000), Ho at (0.000, 0.000, 0.500), Cd at (0.250, 0.250, 0.750) and Si at (0.250, 0.250, 0.250).

---

# 7
Density functional theory data (PBE) for a relaxed structure of TbNdHoCd.

As for the formation energy: -0.0323 eV/atom. The offset from the most stable computed form is 119 meV/atom.

The structure belongs to space group F-43m (No. 216); the cell edges are 7.781, 7.781 and 7.781 Å and the angles 90.00°, 90.00° and 90.00°. The asymmetric unit holds Tb at (0.000, 0.000, 0.000), Nd at (0.000, 0.000, 0.500), Ho at (0.250, 0.250, 0.250) and Cd at (0.250, 0.250, 0.750).

---

# 8
Density functional theory data (PBE) for a relaxed structure of TbNdHoCd.

As for the formation energy: -0.1509 eV/atom. The offset from the most stable computed form is 0 meV/atom.

The structure belongs to space group P4mm (No. 99); the cell edges are 3.633, 3.633 and 9.026 Å and the angles 90.00°, 90.00° and 90.00°. The asymmetric unit holds Tb at (0.000, 0.000, 0.000), Nd at (0.500, 0.500, 0.280), Ho at (0.000, 0.000, 0.557) and Cd at (0.500, 0.500, 0.775).

---

no.,theoretical density (g/cm3)
1,7.75
2,7.66
3,8.35
4,10.01
5,6.98
6,7.61
7,8.19
8,8.09